Below is CaTaAu2 after structural relaxation, with properties calculated at the PBE level.

Cell lengths 4.7928, 4.7928, 4.7928 Å; angles 60.00, 60.00, 60.00 degrees
Positions (direct):
Ca 0.0000 0.0000 0.0000
Ta 0.2500 0.2500 0.2500
Au 0.5000 0.5000 0.5000
Au 0.7500 0.7500 0.7500

Calculated values
- DOS at the Fermi energy: 4.83 states/eV/f.u.
- Calculated formation energy: 0.30 eV per atom
- Space-group type: F-43m, No. 216
- Energy above the most stable polymorph in this dataset: 0.492 eV per atom

=====

Below is CaTaAu after structural relaxation, with properties calculated at the PBE level.

Cell lengths 8.8633, 8.8633, 3.2754 Å; angles 90.53, 90.53, 30.67 degrees
Positions (direct):
Ca 0.1794 0.1794 0.0111
Ca 0.8206 0.8206 0.9889
Ta 0.0021 0.9979 0.5000
Ta 0.5040 0.4960 0.0000
Au 0.3659 0.3658 0.4925
Au 0.6342 0.6341 0.5075

Calculated values
- DOS at the Fermi energy: 2.84 states/eV/f.u.
- Calculated formation energy: -0.13 eV per atom
- Space-group type: C2, No. 5
- Energy above the most stable polymorph in this dataset: 0.044 eV per atom

=====

Below is CaTa2Au after structural relaxation, with properties calculated at the PBE level.

Cell lengths 3.6655, 3.6655, 6.6988 Å; angles 90.00, 90.00, 90.00 degrees
Positions (direct):
Ca 0.0000 0.0000 0.0000
Ta 0.5000 0.5000 0.3191
Ta 0.5000 0.5000 0.6809
Au 0.0000 0.0000 0.5000

Calculated values
- DOS at the Fermi energy: 4.55 states/eV/f.u.
- Calculated formation energy: 0.63 eV per atom
- Space-group type: P4/mmm, No. 123
- Energy above the most stable polymorph in this dataset: 0.506 eV per atom

=====

Below is CaTaAu2 after structural relaxation, with properties calculated at the PBE level.

Cell lengths 8.3156, 8.3156, 8.3156 Å; angles 25.18, 25.18, 25.18 degrees
Positions (direct):
Ca 0.0000 0.0000 0.0000
Ta 0.5000 0.5000 0.5000
Au 0.2385 0.2385 0.2385
Au 0.7615 0.7615 0.7615

Calculated values
- DOS at the Fermi energy: 3.51 states/eV/f.u.
- Calculated formation energy: 0.03 eV per atom
- Space-group type: R-3m, No. 166
- Energy above the most stable polymorph in this dataset: 0.229 eV per atom

=====

Below is CaTaAu4 after structural relaxation, with properties calculated at the PBE level.

Cell lengths 5.5476, 5.5476, 5.5476 Å; angles 60.00, 60.00, 60.00 degrees
Positions (direct):
Ca 0.0000 0.0000 0.0000
Ta 0.7500 0.7500 0.7500
Au 0.3753 0.3753 0.3753
Au 0.3753 0.3753 0.8741
Au 0.3753 0.8741 0.3753
Au 0.8741 0.3753 0.3753

Calculated values
- DOS at the Fermi energy: 6.98 states/eV/f.u.
- Calculated formation energy: 0.10 eV per atom
- Space-group type: F-43m, No. 216

=====

Below is CaTaAu3 after structural relaxation, with properties calculated at the PBE level.

Cell lengths 5.1420, 5.1420, 5.1420 Å; angles 90.00, 90.00, 90.00 degrees
Positions (direct):
Ca 0.0000 0.0000 0.0000
Ta 0.5000 0.5000 0.5000
Au 0.0000 0.5000 0.5000
Au 0.5000 0.0000 0.5000
Au 0.5000 0.5000 0.0000

Calculated values
- DOS at the Fermi energy: 3.09 states/eV/f.u.
- Calculated formation energy: 0.20 eV per atom
- Space-group type: Pm-3m, No. 221
- Energy above the most stable polymorph in this dataset: 0.000 eV per atom

=====

Below is CaTaAu after structural relaxation, with properties calculated at the PBE level.

Cell lengths 4.9119, 4.9119, 5.9817 Å; angles 90.00, 90.00, 120.00 degrees
Positions (direct):
Ca 0.3333 0.6667 0.2500
Ca 0.6667 0.3333 0.7500
Ta 0.3333 0.6667 0.7500
Ta 0.6667 0.3333 0.2500
Au 0.0000 0.0000 0.0000
Au 0.0000 0.0000 0.5000

Calculated values
- DOS at the Fermi energy: 3.20 states/eV/f.u.
- Calculated formation energy: 0.88 eV per atom
- Space-group type: P6_3/mmc, No. 194
- Energy above the most stable polymorph in this dataset: 1.053 eV per atom

=====

Below is CaTaAu after structural relaxation, with properties calculated at the PBE level.

Cell lengths 3.9085, 5.3133, 7.5793 Å; angles 79.84, 75.13, 68.42 degrees
Positions (direct):
Ca 0.2325 0.3523 0.1825
Ca 0.7675 0.6477 0.8175
Ta 0.1485 0.0992 0.6043
Ta 0.8515 0.9008 0.3957
Au 0.0000 0.0000 0.0000
Au 0.5000 0.5000 0.5000

Calculated values
- DOS at the Fermi energy: 2.34 states/eV/f.u.
- Calculated formation energy: 0.03 eV per atom
- Space-group type: P-1, No. 2
- Energy above the most stable polymorph in this dataset: 0.202 eV per atom

=====

Below is CaTa2Au after structural relaxation, with properties calculated at the PBE level.

Cell lengths 2.9519, 2.9519, 9.4974 Å; angles 90.00, 90.00, 99.65 degrees
Positions (direct):
Ca 0.0000 0.0000 0.0000
Ta 0.0000 0.0000 0.5235
Ta 0.5000 0.5000 0.2979
Au 0.5000 0.5000 0.7491

Calculated values
- DOS at the Fermi energy: 3.61 states/eV/f.u.
- Calculated formation energy: 0.13 eV per atom
- Space-group type: Cmm2, No. 35
- Energy above the most stable polymorph in this dataset: 0.007 eV per atom

=====

Below is CaTa2Au after structural relaxation, with properties calculated at the PBE level.

Cell lengths 11.3572, 11.3572, 11.3572 Å; angles 159.90, 159.90, 28.57 degrees
Positions (direct):
Ca 0.0000 0.0000 0.0000
Ca 0.7500 0.2500 0.5000
Ta 0.1388 0.6250 0.0138
Ta 0.3750 0.3888 0.5138
Ta 0.6112 0.1250 0.9862
Ta 0.8750 0.8612 0.4862
Au 0.2500 0.7500 0.5000
Au 0.5000 0.5000 0.0000

Calculated values
- DOS at the Fermi energy: 3.93 states/eV/f.u.
- Calculated formation energy: 0.55 eV per atom
- Space-group type: I-42d, No. 122
- Energy above the most stable polymorph in this dataset: 0.424 eV per atom

=====

Below is CaTaAu after structural relaxation, with properties calculated at the PBE level.

Cell lengths 4.7947, 4.7947, 3.3254 Å; angles 90.00, 90.00, 120.00 degrees
Positions (direct):
Ca 0.0000 0.0000 0.0000
Ta 0.6667 0.3333 0.5409
Au 0.3333 0.6667 0.4493

Calculated values
- DOS at the Fermi energy: 2.83 states/eV/f.u.
- Calculated formation energy: 0.34 eV per atom
- Space-group type: P3m1, No. 156
- Energy above the most stable polymorph in this dataset: 0.515 eV per atom

=====

Below is CaTaAu after structural relaxation, with properties calculated at the PBE level.

Cell lengths 3.4839, 3.4839, 11.0305 Å; angles 90.00, 90.00, 90.00 degrees
Positions (direct):
Ca 0.0000 0.0000 0.0000
Ca 0.0000 0.0000 0.3463
Ta 0.0000 0.0000 0.6797
Ta 0.5000 0.5000 0.7918
Au 0.5000 0.5000 0.1703
Au 0.5000 0.5000 0.5243

Calculated values
- DOS at the Fermi energy: 2.30 states/eV/f.u.
- Calculated formation energy: -0.18 eV per atom
- Space-group type: P4mm, No. 99
- Energy above the most stable polymorph in this dataset: 0.000 eV per atom

=====

Question: Number 2 is which compound?
Answer: CaTaAu